<one>
Entry from Alexandria: Hf2ZrNi after structural relaxation (PBE).

```
Hf2ZrNi
1.0
1.621 0.936 8.854
-1.621 0.936 8.854
0.000 -1.872 8.854
Hf Zr Ni
2 1 1
direct
0.000 0.000 0.000
0.192 0.192 0.192
0.764 0.764 0.764
0.597 0.597 0.597
```

Mass density in g/cm³: 10.44
Magnetization in μB/atom: 0.00

=====

<two>
Entry from Alexandria: Hf2ZrNi after structural relaxation (PBE).

```
Hf2ZrNi
1.0
2.134 -5.351 0.000
2.134 5.351 0.000
0.000 0.000 6.934
Hf Zr Ni
4 2 2
direct
0.141 0.859 0.536
0.141 0.859 0.964
0.859 0.141 0.036
0.859 0.141 0.464
0.450 0.550 0.750
0.550 0.450 0.250
0.286 0.714 0.250
0.714 0.286 0.750
```

Mass density in g/cm³: 10.63
Magnetization in μB/atom: 0.00

=====

<three>
Entry from Alexandria: Hf2ZrNi after structural relaxation (PBE).

```
Hf2ZrNi
1.0
3.200 0.000 0.000
0.000 3.200 0.000
0.000 0.000 7.518
Hf Zr Ni
2 1 1
direct
0.000 0.000 0.211
0.000 0.000 0.789
0.500 0.500 0.500
0.500 0.500 0.000
```

Mass density in g/cm³: 10.94
Magnetization in μB/atom: 0.00

=====

Most stable of them? <three>.

=====

<one>
Entry from Alexandria: HfZr2Ni9 after structural relaxation (PBE).

```
HfZr2Ni9
1.0
3.748 0.000 0.000
0.000 3.748 0.000
0.000 0.000 11.249
Hf Zr Ni
1 2 9
direct
0.000 0.000 0.000
0.000 0.000 0.333
0.000 0.000 0.667
0.000 0.500 0.165
0.000 0.500 0.500
0.000 0.500 0.835
0.500 0.000 0.165
0.500 0.000 0.500
0.500 0.000 0.835
0.500 0.500 0.000
0.500 0.500 0.333
0.500 0.500 0.667
```

Mass density in g/cm³: 9.34
Magnetization in μB/atom: 0.00

=====

<two>
Entry from Alexandria: HfZr2Ni9 after structural relaxation (PBE).

```
HfZr2Ni9
1.0
2.411 1.392 7.961
-2.411 1.392 7.961
0.000 -2.783 7.961
Hf Zr Ni
1 2 9
direct
0.000 0.000 0.000
0.137 0.137 0.137
0.863 0.863 0.863
0.080 0.585 0.585
0.334 0.334 0.334
0.415 0.415 0.920
0.415 0.920 0.415
0.500 0.500 0.500
0.585 0.080 0.585
0.585 0.585 0.080
0.666 0.666 0.666
0.920 0.415 0.415
```

Mass density in g/cm³: 9.21
Magnetization in μB/atom: 0.00

=====

Most stable of them? <one>.

=====

<one>
Entry from Alexandria: HfZr2Ni2 after structural relaxation (PBE).

```
HfZr2Ni2
1.0
7.335 0.000 0.000
0.000 7.335 0.000
0.000 0.000 3.313
Hf Zr Ni
2 4 4
direct
0.000 0.000 0.000
0.500 0.500 0.000
0.169 0.331 0.500
0.331 0.831 0.500
0.669 0.169 0.500
0.831 0.669 0.500
0.124 0.624 0.000
0.376 0.124 0.000
0.624 0.876 0.000
0.876 0.376 0.000
```

Mass density in g/cm³: 8.91
Magnetization in μB/atom: 0.00

=====

<two>
Entry from Alexandria: HfZr2Ni2 after structural relaxation (PBE).

```
HfZr2Ni2
1.0
-2.191 2.191 4.963
2.191 -2.191 4.963
2.191 2.191 -4.963
Hf Zr Ni
1 2 2
direct
0.000 0.000 0.000
0.250 0.750 0.500
0.750 0.250 0.500
0.388 0.388 0.000
0.612 0.612 0.000
```

Mass density in g/cm³: 8.33
Magnetization in μB/atom: 0.00

=====

Most stable of them? <one>.

=====

<one>
Entry from Alexandria: HfZr2Ni2 after structural relaxation (PBE).

```
HfZr2Ni2
1.0
-1.657 1.657 8.633
1.657 -1.657 8.633
1.657 1.657 -8.633
Hf Zr Ni
1 2 2
direct
0.000 0.000 0.000
0.373 0.373 0.000
0.627 0.627 0.000
0.250 0.750 0.500
0.750 0.250 0.500
```

Mass density in g/cm³: 8.37
Magnetization in μB/atom: 0.00

=====

<two>
Entry from Alexandria: HfZr2Ni2 after structural relaxation (PBE).

```
HfZr2Ni2
1.0
7.620 0.000 0.000
0.000 7.620 0.000
0.000 0.000 3.073
Hf Zr Ni
2 4 4
direct
0.000 0.000 0.000
0.500 0.500 0.000
0.156 0.344 0.000
0.344 0.844 0.000
0.656 0.156 0.000
0.844 0.656 0.000
0.138 0.638 0.500
0.362 0.138 0.500
0.638 0.862 0.500
0.862 0.362 0.500
```

Mass density in g/cm³: 8.90
Magnetization in μB/atom: 0.00

=====

<three>
Entry from Alexandria: HfZr2Ni2 after structural relaxation (PBE).

```
HfZr2Ni2
1.0
-1.704 3.055 4.383
1.704 -3.055 4.383
1.704 3.055 -4.383
Hf Zr Ni
1 2 2
direct
0.000 0.000 0.000
0.300 0.800 0.500
0.700 0.200 0.500
0.302 0.500 0.802
0.698 0.500 0.198
```

Mass density in g/cm³: 8.70
Magnetization in μB/atom: 0.00

=====

Most stable of them? <three>.

=====

<one>
Entry from Alexandria: HfZrNi4 after structural relaxation (PBE).

```
HfZrNi4
1.0
3.736 -3.194 0.000
3.736 3.194 0.000
-1.882 0.000 3.747
Hf Zr Ni
1 1 4
direct
0.000 0.000 0.000
0.500 0.500 0.000
0.076 0.581 0.315
0.419 0.924 0.685
0.581 0.076 0.315
0.924 0.419 0.685
```

Mass density in g/cm³: 9.37
Magnetization in μB/atom: 0.00

=====

<two>
Entry from Alexandria: HfZrNi4 after structural relaxation (PBE).

```
HfZrNi4
1.0
0.000 3.474 3.474
3.474 0.000 3.474
3.474 3.474 0.000
Hf Zr Ni
1 1 4
direct
0.000 0.000 0.000
0.750 0.750 0.750
0.375 0.375 0.375
0.375 0.375 0.876
0.375 0.876 0.375
0.876 0.375 0.375
```

Mass density in g/cm³: 9.99
Magnetization in μB/atom: 0.00

=====

Most stable of them? <two>.

=====

<one>
Entry from Alexandria: Hf2NpOs after structural relaxation (PBE).

```
Hf2NpOs
1.0
0.000 3.370 3.370
3.370 0.000 3.370
3.370 3.370 0.000
Hf Np Os
2 1 1
direct
0.250 0.250 0.250
0.750 0.750 0.750
0.000 0.000 0.000
0.500 0.500 0.500
```

Mass density in g/cm³: 17.01
Magnetization in μB/atom: 0.76

=====

<two>
Entry from Alexandria: Hf2NpOs after structural relaxation (PBE).

```
Hf2NpOs
1.0
3.199 0.000 0.000
0.000 3.199 0.000
0.000 0.000 7.820
Hf Np Os
2 1 1
direct
0.000 0.000 0.211
0.000 0.000 0.789
0.500 0.500 0.500
0.500 0.500 0.000
```

Mass density in g/cm³: 16.28
Magnetization in μB/atom: 1.00

=====

<three>
Entry from Alexandria: Hf2NpOs after structural relaxation (PBE).

```
Hf2NpOs
1.0
4.895 0.000 0.000
0.000 4.895 0.000
0.000 0.000 3.200
Hf Np Os
2 1 1
direct
0.000 0.500 0.000
0.500 0.000 0.000
0.000 0.000 0.500
0.500 0.500 0.500
```

Mass density in g/cm³: 16.98
Magnetization in μB/atom: 0.94

=====

Most stable of them? <two>.